A plane-wave DFT calculation with PBE was carried out for an optimized crystal structure of KTlAsBr2.

- total energy (eV per atom) = -2.440
- total moment (μB per cell) = 3.071
- crystal system = tetragonal

a = 6.1592 Å, b = 6.1592 Å, c = 6.1430 Å
α = 90.00°, β = 90.00°, γ = 90.00°
Space group P4/mmm (No. 123)
One atom of each set of equivalent atoms:
K (0.0000, 0.0000, 0.0000)
Tl (0.5000, 0.5000, 0.5000)
As (0.0000, 0.0000, 0.5000)
Br (0.0000, 0.5000, 0.0000)